PrTl4Pd15 | PBE | optimized geometry

Cell and atoms, written as CIF:
```
data_PrTl4Pd15
_chemical_formula_sum 'Pr1 Tl4 Pd15'
_space_group_name_H-M_alt 'P 4/m m m'
_space_group_IT_number 123
_space_group_name_Hall '-P 4 2'
_cell_length_a 4.145
_cell_length_b 4.145
_cell_length_c 20.375
_cell_angle_alpha 90.00
_cell_angle_beta 90.00
_cell_angle_gamma 90.00
loop_
_atom_site_label
_atom_site_fract_x
_atom_site_fract_y
_atom_site_fract_z
_atom_site_occupancy
Pr1 0.000 0.000 0.000 1
Tl1 0.000 0.000 0.206 1
Tl2 0.000 0.000 0.401 1
Pd1 0.000 0.500 0.106 1
Pd2 0.000 0.500 0.303 1
Pd3 0.000 0.500 0.500 1
Pd4 0.500 0.500 0.000 1
Pd5 0.500 0.500 0.203 1
Pd6 0.500 0.500 0.402 1
```

Computed properties:
Formation energy (meV per atom): -296
D(E_F) (states/eV/atom): 0.936


CoNi8H6 | PBE | optimized geometry

Cell and atoms, written as CIF:
```
data_CoNi8H6
_chemical_formula_sum 'Co3 Ni24 H18'
_space_group_name_H-M_alt 'R -3'
_space_group_IT_number 148
_space_group_name_Hall '-R 3'
_cell_length_a 4.4780
_cell_length_b 4.4780
_cell_length_c 18.9717
_cell_angle_alpha 90.00
_cell_angle_beta 90.00
_cell_angle_gamma 120.00
loop_
_atom_site_label
_atom_site_fract_x
_atom_site_fract_y
_atom_site_fract_z
_atom_site_occupancy
Co1 0.0000 0.0000 0.0000 1
Ni1 0.0000 0.0000 0.3334 1
Ni2 0.0001 0.3326 0.1133 1
H1 0.9998 0.3305 0.9403 1
```

Computed properties:
D(E_F) (states/eV/atom): 1.095
DFT total energy (eV per formula unit): -73.66